1.
Compound: La3Sm4Sc
Source: Alexandria via LeMat-Bulk
Functional: PBE
Structure: relaxed

Summary:
Symmetry ... No. 71
Relative energy among the computed polymorphs ... 0.072 eV per atom

a b c (Å): 8.9917 8.9917 8.9917
angles (deg): 157.32 97.40 87.04
Positions (direct):
La (0.0000, 0.0000, 0.0000)
La (0.2617, 0.7617, 0.5000)
La (0.7383, 0.2383, 0.5000)
Sm (0.1244, 0.3676, 0.7568)
Sm (0.3892, 0.6324, 0.7568)
Sm (0.6108, 0.3676, 0.2432)
Sm (0.8756, 0.6324, 0.2432)
Sc (0.5000, 0.5000, 0.0000)

***

2.
Compound: Ac2GeSbPt6
Source: Alexandria via LeMat-Bulk
Functional: PBE
Structure: relaxed

Summary:
Symmetry ... No. 12
Formation energy (no corrections) ... -6.51 eV/f.u.

a b c (Å): 6.8280 6.8280 6.6619
angles (deg): 115.54 115.54 95.93
Positions (direct):
Ac (0.2190, 0.7810, 0.0000)
Ac (0.7810, 0.2190, 0.0000)
Ge (0.5000, 0.5000, 0.5000)
Sb (0.0000, 0.0000, 0.5000)
Pt (0.2551, 0.2551, 0.0167)
Pt (0.2592, 0.7408, 0.5000)
Pt (0.3583, 0.3583, 0.7091)
Pt (0.6417, 0.6417, 0.2909)
Pt (0.7408, 0.2592, 0.5000)
Pt (0.7449, 0.7449, 0.9833)

***

3.
Compound: BaGaReBr2
Source: Alexandria via LeMat-Bulk
Functional: PBE
Structure: relaxed

Summary:
Symmetry ... No. 123
Formation energy (no corrections) ... 3.67 eV/f.u.

a b c (Å): 6.1166 6.1166 7.2137
angles (deg): 90.00 90.00 90.00
Positions (direct):
Ba (0.0000, 0.0000, 0.0000)
Ga (0.0000, 0.0000, 0.5000)
Re (0.5000, 0.5000, 0.5000)
Br (0.0000, 0.5000, 0.0000)
Br (0.5000, 0.0000, 0.0000)

***

4.
Compound: NdDyRu
Source: Alexandria via LeMat-Bulk
Functional: PBE
Structure: relaxed

Summary:
Symmetry ... No. 11
Relative energy among the computed polymorphs ... 0.000 eV per atom

a b c (Å): 7.5849 4.4633 13.3447
angles (deg): 90.00 90.40 90.00
Positions (direct):
Nd (0.0203, 0.2500, 0.2132)
Nd (0.3637, 0.7500, 0.5831)
Nd (0.4737, 0.7500, 0.8831)
Nd (0.5263, 0.2500, 0.1169)
Nd (0.6363, 0.2500, 0.4169)
Nd (0.9797, 0.7500, 0.7867)
Dy (0.0189, 0.2500, 0.5905)
Dy (0.1485, 0.2500, 0.9559)
Dy (0.3643, 0.7500, 0.2893)
Dy (0.6357, 0.2500, 0.7107)
Dy (0.8515, 0.7500, 0.0441)
Dy (0.9811, 0.7500, 0.4095)
Ru (0.2339, 0.2500, 0.4082)
Ru (0.2384, 0.7500, 0.0782)
Ru (0.2710, 0.2500, 0.7480)
Ru (0.7290, 0.7500, 0.2520)
Ru (0.7616, 0.2500, 0.9218)
Ru (0.7661, 0.7500, 0.5918)

***

5.
Compound: NbAgCl3
Source: Alexandria via LeMat-Bulk
Functional: PBE
Structure: relaxed

Summary:
Symmetry ... No. 221
Relative energy among the computed polymorphs ... 0.000 eV per atom
Formation energy (no corrections) ... -1.83 eV/f.u.

a b c (Å): 5.0422 5.0422 5.0422
angles (deg): 90.00 90.00 90.00
Positions (direct):
Nb (0.0000, 0.0000, 0.0000)
Ag (0.5000, 0.5000, 0.5000)
Cl (0.0000, 0.0000, 0.5000)
Cl (0.0000, 0.5000, 0.0000)
Cl (0.5000, 0.0000, 0.0000)

***

6.
Compound: Tb2Ho2H
Source: Alexandria via LeMat-Bulk
Functional: PBE
Structure: relaxed

Summary:
Symmetry ... No. 123
E_tot ... -4.519 eV per atom

a b c (Å): 4.9819 4.9819 4.9730
angles (deg): 90.00 90.00 90.00
Positions (direct):
Tb (0.0000, 0.0000, 0.0000)
Tb (0.5000, 0.5000, 0.0000)
Ho (0.0000, 0.5000, 0.5000)
Ho (0.5000, 0.0000, 0.5000)
H (0.0000, 0.0000, 0.5000)

***

7.
Compound: NbHg2Cl5
Source: Alexandria via LeMat-Bulk
Functional: PBE
Structure: relaxed

Summary:
Symmetry ... No. 8
Relative energy among the computed polymorphs ... 0.028 eV per atom
Formation energy (no corrections) ... -7.03 eV/f.u.

a b c (Å): 7.8529 7.8529 8.2946
angles (deg): 121.78 121.78 63.80
Positions (direct):
Nb (0.0000, 0.0000, 0.0000)
Hg (0.2275, 0.2275, 0.7270)
Hg (0.7272, 0.7272, 0.2285)
Cl (0.1346, 0.7505, 0.1347)
Cl (0.1355, 0.7513, 0.7513)
Cl (0.2154, 0.2154, 0.2153)
Cl (0.7505, 0.1346, 0.1347)
Cl (0.7513, 0.1355, 0.7513)

***

8.
Compound: Ho2Al3Cd
Source: Alexandria via LeMat-Bulk
Functional: PBE
Structure: relaxed

Summary:
Symmetry ... No. 69
Relative energy among the computed polymorphs ... 0.000 eV per atom

a b c (Å): 9.2453 8.7340 5.8214
angles (deg): 75.95 66.41 37.65
Positions (direct):
Ho (0.2491, 0.7509, 0.7509)
Ho (0.2500, 0.2500, 0.2500)
Ho (0.7500, 0.7500, 0.7500)
Ho (0.7509, 0.2491, 0.2491)
Al (0.1642, 0.1642, 0.8358)
Al (0.1644, 0.6713, 0.3287)
Al (0.3287, 0.8356, 0.1644)
Al (0.6713, 0.1644, 0.8356)
Al (0.8356, 0.3287, 0.6713)
Al (0.8358, 0.8358, 0.1642)
Cd (0.3333, 0.3333, 0.6667)
Cd (0.6667, 0.6667, 0.3333)

***

9.
Compound: PaGa8
Source: Alexandria via LeMat-Bulk
Functional: PBE
Structure: relaxed

Summary:
Symmetry ... No. 139
E_tot ... -3.834 eV per atom

a b c (Å): 6.6928 6.6928 6.6928
angles (deg): 95.68 95.68 143.31
Positions (direct):
Pa (0.0000, 0.0000, 0.0000)
Ga (0.0000, 0.3431, 0.3431)
Ga (0.0000, 0.6569, 0.6569)
Ga (0.3218, 0.3218, 0.6435)
Ga (0.3218, 0.6782, 0.0000)
Ga (0.3431, 0.0000, 0.3431)
Ga (0.6569, 0.0000, 0.6569)
Ga (0.6782, 0.3218, 0.0000)
Ga (0.6782, 0.6782, 0.3565)

***

10.
Compound: MnIn2Si
Source: Alexandria via LeMat-Bulk
Functional: PBE
Structure: relaxed

Summary:
Symmetry ... No. 25
Relative energy among the computed polymorphs ... 0.000 eV per atom
Formation energy (no corrections) ... 0.60 eV/f.u.

a b c (Å): 3.0335 3.2612 7.9754
angles (deg): 90.00 90.00 90.00
Positions (direct):
Mn (0.0000, 0.0000, 0.0000)
In (0.0000, 0.0000, 0.4000)
In (0.5000, 0.5000, 0.7524)
Si (0.5000, 0.5000, 0.1206)

***

11.
Compound: CrInCu2P
Source: Alexandria via LeMat-Bulk
Functional: PBE
Structure: relaxed

Summary:
Symmetry ... No. 123
Relative energy among the computed polymorphs ... 0.057 eV per atom

a b c (Å): 4.7724 4.7724 4.3361
angles (deg): 90.00 90.00 90.00
Positions (direct):
Cr (0.0000, 0.0000, 0.0000)
In (0.5000, 0.5000, 0.5000)
Cu (0.0000, 0.5000, 0.0000)
Cu (0.5000, 0.0000, 0.0000)
P (0.0000, 0.0000, 0.5000)

***

12.
Compound: CoSb2
Source: Alexandria via LeMat-Bulk
Functional: PBE
Structure: relaxed

Summary:
Symmetry ... No. 14
Formation energy (no corrections) ... -0.54 eV/f.u.

a b c (Å): 6.5323 6.4108 6.5696
angles (deg): 90.00 117.00 90.00
Positions (direct):
Co (0.2302, 0.0007, 0.2180)
Co (0.2302, 0.4993, 0.7180)
Co (0.7698, 0.5007, 0.2820)
Co (0.7698, 0.9993, 0.7820)
Sb (0.1510, 0.6446, 0.3337)
Sb (0.1510, 0.8554, 0.8337)
Sb (0.3536, 0.1410, 0.6301)
Sb (0.3536, 0.3590, 0.1301)
Sb (0.6464, 0.6410, 0.8699)
Sb (0.6464, 0.8590, 0.3699)
Sb (0.8490, 0.1446, 0.1663)
Sb (0.8490, 0.3554, 0.6663)

***

13.
Compound: CsBaIn2Sb
Source: Alexandria via LeMat-Bulk
Functional: PBE
Structure: relaxed

Summary:
Symmetry ... No. 123
Formation energy (no corrections) ... 2.52 eV/f.u.

a b c (Å): 6.1580 6.1580 6.5978
angles (deg): 90.00 90.00 90.00
Positions (direct):
Cs (0.0000, 0.0000, 0.0000)
Ba (0.5000, 0.5000, 0.5000)
In (0.0000, 0.5000, 0.0000)
In (0.5000, 0.0000, 0.0000)
Sb (0.0000, 0.0000, 0.5000)

***

14.
Compound: Zn2Si2Pd
Source: Alexandria via LeMat-Bulk
Functional: PBE
Structure: relaxed

Summary:
Symmetry ... No. 139
Formation energy (no corrections) ... 0.98 eV/f.u.

a b c (Å): 6.1316 6.1316 6.1316
angles (deg): 143.74 143.74 52.21
Positions (direct):
Zn (0.2500, 0.7500, 0.5000)
Zn (0.7500, 0.2500, 0.5000)
Si (0.1021, 0.1021, 0.0000)
Si (0.8979, 0.8979, 0.0000)
Pd (0.5000, 0.5000, 0.0000)

***

15.
Compound: Er5TlPd2
Source: Alexandria via LeMat-Bulk
Functional: PBE
Structure: relaxed

Summary:
Symmetry ... No. 140
E_tot ... -5.026 eV per atom

a b c (Å): 8.6595 8.6595 8.6595
angles (deg): 126.40 126.40 79.23
Positions (direct):
Er (0.0000, 0.0000, 0.0000)
Er (0.0166, 0.5166, 0.8144)
Er (0.2022, 0.0166, 0.5000)
Er (0.2978, 0.7978, 0.8144)
Er (0.4834, 0.2978, 0.5000)
Er (0.5000, 0.5000, 0.0000)
Er (0.5166, 0.7022, 0.5000)
Er (0.7022, 0.2022, 0.1856)
Er (0.7978, 0.9834, 0.5000)
Er (0.9834, 0.4834, 0.1856)
Tl (0.2500, 0.2500, 0.0000)
Tl (0.7500, 0.7500, 0.0000)
Pd (0.1352, 0.3648, 0.5000)
Pd (0.3648, 0.8648, 0.2296)
Pd (0.6352, 0.1352, 0.7704)
Pd (0.8648, 0.6352, 0.5000)

***

16.
Compound: YGeOsS2
Source: Alexandria via LeMat-Bulk
Functional: PBE
Structure: relaxed

Summary:
Symmetry ... No. 123
Formation energy (no corrections) ... 4.68 eV/f.u.

a b c (Å): 5.1040 5.1040 5.4442
angles (deg): 90.00 90.00 90.00
Positions (direct):
Y (0.0000, 0.0000, 0.0000)
Ge (0.5000, 0.5000, 0.5000)
Os (0.0000, 0.0000, 0.5000)
S (0.0000, 0.5000, 0.0000)
S (0.5000, 0.0000, 0.0000)

***

17.
Compound: AcPrAu2
Source: Alexandria via LeMat-Bulk
Functional: PBE
Structure: relaxed

Summary:
Symmetry ... No. 38
Relative energy among the computed polymorphs ... 0.000 eV per atom

a b c (Å): 4.8902 6.1583 6.1583
angles (deg): 38.74 90.00 90.00
Positions (direct):
Ac (0.0000, 0.0000, 0.0000)
Pr (0.5000, 0.2727, 0.2727)
Au (0.0000, 0.7235, 0.7235)
Au (0.5000, 0.5503, 0.5503)

***

18.
Compound: Nd8Y2Er
Source: Alexandria via LeMat-Bulk
Functional: PBE
Structure: relaxed

Summary:
Symmetry ... No. 12
Relative energy among the computed polymorphs ... 0.000 eV per atom

a b c (Å): 9.6429 9.6429 8.1493
angles (deg): 104.60 104.60 31.03
Positions (direct):
Nd (0.0459, 0.0459, 0.2289)
Nd (0.1364, 0.1364, 0.6828)
Nd (0.3185, 0.3185, 0.5897)
Nd (0.4091, 0.4091, 0.0479)
Nd (0.5909, 0.5909, 0.9521)
Nd (0.6815, 0.6815, 0.4103)
Nd (0.8636, 0.8636, 0.3172)
Nd (0.9541, 0.9541, 0.7711)
Y (0.2266, 0.2266, 0.1349)
Y (0.7734, 0.7734, 0.8651)
Er (0.5000, 0.5000, 0.5000)

***

19.
Compound: FeNi9Ge2
Source: Alexandria via LeMat-Bulk
Functional: PBE
Structure: relaxed

Summary:
Symmetry ... No. 123
E_tot ... -6.017 eV per atom

a b c (Å): 3.5695 3.5695 10.6880
angles (deg): 90.00 90.00 90.00
Positions (direct):
Fe (0.0000, 0.0000, 0.0000)
Ni (0.0000, 0.5000, 0.1635)
Ni (0.0000, 0.5000, 0.5000)
Ni (0.0000, 0.5000, 0.8365)
Ni (0.5000, 0.0000, 0.1635)
Ni (0.5000, 0.0000, 0.5000)
Ni (0.5000, 0.0000, 0.8365)
Ni (0.5000, 0.5000, 0.0000)
Ni (0.5000, 0.5000, 0.3332)
Ni (0.5000, 0.5000, 0.6668)
Ge (0.0000, 0.0000, 0.3317)
Ge (0.0000, 0.0000, 0.6683)

***

20.
Compound: YTa3H
Source: Alexandria via LeMat-Bulk
Functional: PBE
Structure: relaxed

Summary:
Symmetry ... No. 221
Relative energy among the computed polymorphs ... 0.000 eV per atom

a b c (Å): 4.3976 4.3976 4.3976
angles (deg): 90.00 90.00 90.00
Positions (direct):
Y (0.0000, 0.0000, 0.0000)
Ta (0.0000, 0.5000, 0.5000)
Ta (0.5000, 0.0000, 0.5000)
Ta (0.5000, 0.5000, 0.0000)
H (0.5000, 0.5000, 0.5000)

***

21.
Compound: Li3TeW
Source: Alexandria via LeMat-Bulk
Functional: PBE
Structure: relaxed

Summary:
Symmetry ... No. 221
Relative energy among the computed polymorphs ... 0.000 eV per atom
Formation energy (no corrections) ... 4.00 eV/f.u.

a b c (Å): 5.1468 5.1468 5.1468
angles (deg): 90.00 90.00 90.00
Positions (direct):
Li (0.0000, 0.0000, 0.5000)
Li (0.0000, 0.5000, 0.0000)
Li (0.5000, 0.0000, 0.0000)
Te (0.0000, 0.0000, 0.0000)
W (0.5000, 0.5000, 0.5000)

***

22.
Compound: Rb2HfU2S6
Source: Alexandria via LeMat-Bulk
Functional: PBE
Structure: relaxed

Summary:
Symmetry ... No. 12
Formation energy (no corrections) ... -15.96 eV/f.u.

a b c (Å): 6.7391 6.7391 8.2636
angles (deg): 97.94 97.94 119.58
Positions (direct):
Rb (0.1687, 0.8313, 0.0000)
Rb (0.8313, 0.1687, 0.0000)
Hf (0.0000, 0.0000, 0.5000)
U (0.3339, 0.6661, 0.5000)
U (0.6661, 0.3339, 0.5000)
S (0.0635, 0.3798, 0.6872)
S (0.2514, 0.2514, 0.3127)
S (0.3798, 0.0635, 0.6872)
S (0.6202, 0.9365, 0.3128)
S (0.7486, 0.7486, 0.6873)
S (0.9365, 0.6202, 0.3128)

***

23.
Compound: HoTmSn4Ru2
Source: Alexandria via LeMat-Bulk
Functional: PBE
Structure: relaxed

Summary:
Symmetry ... No. 123
E_tot ... -5.688 eV per atom

a b c (Å): 4.4238 4.4238 10.0723
angles (deg): 90.00 90.00 90.00
Positions (direct):
Ho (0.0000, 0.0000, 0.0000)
Tm (0.0000, 0.0000, 0.5000)
Sn (0.0000, 0.5000, 0.2721)
Sn (0.0000, 0.5000, 0.7279)
Sn (0.5000, 0.0000, 0.2721)
Sn (0.5000, 0.0000, 0.7279)
Ru (0.5000, 0.5000, 0.1150)
Ru (0.5000, 0.5000, 0.8850)

***

24.
Compound: TcW2Cl
Source: Alexandria via LeMat-Bulk
Functional: PBE
Structure: relaxed

Summary:
Symmetry ... No. 65
Relative energy among the computed polymorphs ... 0.208 eV per atom
Formation energy (no corrections) ... 2.29 eV/f.u.

a b c (Å): 2.8271 2.8271 8.9906
angles (deg): 90.00 90.00 116.36
Positions (direct):
Tc (0.0000, 0.0000, 0.0000)
W (0.5000, 0.5000, 0.2438)
W (0.5000, 0.5000, 0.7562)
Cl (0.0000, 0.0000, 0.5000)